First-principles (GGA-PBE) data for a relaxed CeNdAlAg crystal, as listed in Alexandria via LeMat-Bulk.

The structure in extended XYZ format:
```
4
Lattice="-3.0509 0.3818 4.3131 0.3756 -3.6296 3.8395 2.1556 1.2907 4.6631" Properties=species:S:1:pos:R:3 pbc="T T T"
Ag -0.3898 -1.4679 9.6117
Nd -0.2598 -0.9786 6.4078
Al -0.1299 -0.4893 3.2039
Ce 0.0000 0.0000 0.0000
```

energy	-4.5098	eV/atom